# 1
First-principles (PBE) data for an optimized crystal structure of Sm3TmIn3, as listed in Alexandria via LeMat-Bulk. Values from VASP.

Calculated values
Total magnetic moment = 0.0000 μB/atom
Space group = No. 176
Formation enthalpy at 0 K = -20.72 kJ per mole of atoms

Geometry as Quantum ESPRESSO input:
```
&SYSTEM
  ibrav = 0, nat = 14, ntyp = 3
/
ATOMIC_SPECIES
Sm 150.36 Sm.upf
Tm 168.93 Tm.upf
In 114.82 In.upf
ATOMIC_POSITIONS crystal
Sm 0.094 0.642 0.250
Sm 0.358 0.452 0.250
Sm 0.452 0.094 0.750
Sm 0.548 0.906 0.250
Sm 0.642 0.548 0.750
Sm 0.906 0.358 0.750
Tm 0.333 0.667 0.750
Tm 0.667 0.333 0.250
In 0.049 0.817 0.750
In 0.183 0.232 0.750
In 0.232 0.049 0.250
In 0.768 0.951 0.750
In 0.817 0.768 0.250
In 0.951 0.183 0.250
CELL_PARAMETERS angstrom
9.193 0.000 0.000
-4.596 7.961 0.000
0.000 0.000 5.522
```



# 2
First-principles (PBE) data for an optimized crystal structure of Sm12Tm7In, as listed in Alexandria via LeMat-Bulk. Values from VASP.

Calculated values
Total magnetic moment = 0.0001 μB/atom
Space group = No. 229
Formation enthalpy at 0 K = 65.80 kJ per mole of atoms

Geometry as Quantum ESPRESSO input:
```
&SYSTEM
  ibrav = 0, nat = 20, ntyp = 3
/
ATOMIC_SPECIES
Sm 150.36 Sm.upf
Tm 168.93 Tm.upf
In 114.82 In.upf
ATOMIC_POSITIONS crystal
Sm 0.000 0.224 0.776
Sm 0.000 0.776 0.224
Sm 0.224 0.000 0.776
Sm 0.224 0.224 0.447
Sm 0.224 0.447 0.224
Sm 0.224 0.776 0.000
Sm 0.447 0.224 0.224
Sm 0.553 0.776 0.776
Sm 0.776 0.000 0.224
Sm 0.776 0.224 0.000
Sm 0.776 0.553 0.776
Sm 0.776 0.776 0.553
Tm 0.000 0.000 0.500
Tm 0.000 0.500 0.000
Tm 0.000 0.500 0.500
Tm 0.500 0.000 0.000
Tm 0.500 0.000 0.500
Tm 0.500 0.500 0.000
Tm 0.500 0.500 0.500
In 0.000 0.000 0.000
CELL_PARAMETERS angstrom
-5.725 5.725 5.725
5.725 -5.725 5.725
5.725 5.725 -5.725
```



# 3
First-principles (PBE) data for an optimized crystal structure of Sm3Tm3In, as listed in Alexandria via LeMat-Bulk. Values from VASP.

Calculated values
Total magnetic moment = 0.0000 μB/atom
Space group = No. 62
Formation enthalpy at 0 K = -5.53 kJ per mole of atoms

Geometry as Quantum ESPRESSO input:
```
&SYSTEM
  ibrav = 0, nat = 28, ntyp = 3
/
ATOMIC_SPECIES
Sm 150.36 Sm.upf
Tm 168.93 Tm.upf
In 114.82 In.upf
ATOMIC_POSITIONS crystal
Sm 0.133 0.250 0.180
Sm 0.133 0.750 0.818
Sm 0.217 0.750 0.405
Sm 0.283 0.250 0.905
Sm 0.367 0.250 0.318
Sm 0.367 0.750 0.680
Sm 0.633 0.250 0.320
Sm 0.633 0.750 0.682
Sm 0.717 0.750 0.095
Sm 0.783 0.250 0.595
Sm 0.867 0.250 0.182
Sm 0.867 0.750 0.820
Tm 0.002 0.750 0.574
Tm 0.003 0.750 0.059
Tm 0.217 0.250 0.586
Tm 0.283 0.750 0.086
Tm 0.497 0.250 0.559
Tm 0.498 0.250 0.074
Tm 0.502 0.750 0.926
Tm 0.503 0.750 0.441
Tm 0.717 0.250 0.914
Tm 0.783 0.750 0.414
Tm 0.997 0.250 0.941
Tm 0.998 0.250 0.426
In 0.006 0.250 0.708
In 0.494 0.750 0.208
In 0.506 0.250 0.792
In 0.994 0.750 0.292
CELL_PARAMETERS angstrom
12.681 0.000 0.000
0.000 5.435 0.000
0.000 0.000 12.664
```



# 4
First-principles (PBE) data for an optimized crystal structure of Sm6TmIn, as listed in Alexandria via LeMat-Bulk. Values from VASP.

Calculated values
Total magnetic moment = 0.0000 μB/atom
Space group = No. 123
Formation enthalpy at 0 K = -11.52 kJ per mole of atoms

Geometry as Quantum ESPRESSO input:
```
&SYSTEM
  ibrav = 0, nat = 8, ntyp = 3
/
ATOMIC_SPECIES
Sm 150.36 Sm.upf
Tm 168.93 Tm.upf
In 114.82 In.upf
ATOMIC_POSITIONS crystal
Sm 0.000 0.000 0.000
Sm 0.000 0.000 0.500
Sm 0.000 0.500 0.244
Sm 0.000 0.500 0.756
Sm 0.500 0.000 0.244
Sm 0.500 0.000 0.756
Tm 0.500 0.500 0.500
In 0.500 0.500 0.000
CELL_PARAMETERS angstrom
4.970 0.000 0.000
0.000 4.970 0.000
0.000 0.000 10.176
```



# 5
First-principles (PBE) data for an optimized crystal structure of Sm12Tm7In, as listed in Alexandria via LeMat-Bulk. Values from VASP.

Calculated values
Total magnetic moment = 0.0601 μB/atom
Space group = No. 148
Formation enthalpy at 0 K = 15.38 kJ per mole of atoms

Geometry as Quantum ESPRESSO input:
```
&SYSTEM
  ibrav = 0, nat = 20, ntyp = 3
/
ATOMIC_SPECIES
Sm 150.36 Sm.upf
Tm 168.93 Tm.upf
In 114.82 In.upf
ATOMIC_POSITIONS crystal
Sm 0.004 0.883 0.355
Sm 0.117 0.645 0.996
Sm 0.235 0.761 0.630
Sm 0.239 0.370 0.765
Sm 0.355 0.004 0.883
Sm 0.370 0.765 0.239
Sm 0.630 0.235 0.761
Sm 0.645 0.996 0.117
Sm 0.761 0.630 0.235
Sm 0.765 0.239 0.370
Sm 0.883 0.355 0.004
Sm 0.996 0.117 0.645
Tm 0.000 0.000 0.000
Tm 0.122 0.445 0.354
Tm 0.354 0.122 0.445
Tm 0.445 0.354 0.122
Tm 0.555 0.646 0.878
Tm 0.646 0.878 0.555
Tm 0.878 0.555 0.646
In 0.500 0.500 0.500
CELL_PARAMETERS angstrom
6.097 3.520 5.051
-6.097 3.520 5.051
0.000 -7.040 5.051
```



# 6
First-principles (PBE) data for an optimized crystal structure of Sm6TmIn2, as listed in Alexandria via LeMat-Bulk. Values from VASP.

Calculated values
Total magnetic moment = 0.0000 μB/atom
Space group = No. 71
Formation enthalpy at 0 K = -6.31 kJ per mole of atoms

Geometry as Quantum ESPRESSO input:
```
&SYSTEM
  ibrav = 0, nat = 9, ntyp = 3
/
ATOMIC_SPECIES
Sm 150.36 Sm.upf
Tm 168.93 Tm.upf
In 114.82 In.upf
ATOMIC_POSITIONS crystal
Sm 0.144 0.830 0.314
Sm 0.165 0.000 0.165
Sm 0.484 0.170 0.314
Sm 0.516 0.830 0.686
Sm 0.835 0.000 0.835
Sm 0.856 0.170 0.686
Tm 0.500 0.500 0.000
In 0.153 0.653 0.500
In 0.847 0.347 0.500
CELL_PARAMETERS angstrom
-1.721 4.685 8.515
1.721 -4.685 8.515
1.721 4.685 -8.515
```



# 7
First-principles (PBE) data for an optimized crystal structure of Sm2TmIn, as listed in Alexandria via LeMat-Bulk. Values from VASP.

Calculated values
Total magnetic moment = 0.0000 μB/atom
Space group = No. 160
Formation enthalpy at 0 K = -10.04 kJ per mole of atoms

Geometry as Quantum ESPRESSO input:
```
&SYSTEM
  ibrav = 0, nat = 4, ntyp = 3
/
ATOMIC_SPECIES
Sm 150.36 Sm.upf
Tm 168.93 Tm.upf
In 114.82 In.upf
ATOMIC_POSITIONS crystal
Sm 0.000 0.000 0.000
Sm 0.163 0.163 0.163
Tm 0.582 0.582 0.582
In 0.415 0.415 0.415
CELL_PARAMETERS angstrom
1.770 1.022 11.310
-1.770 1.022 11.310
0.000 -2.043 11.310
```



# 8
First-principles (PBE) data for an optimized crystal structure of Sm6Tm3In, as listed in Alexandria via LeMat-Bulk. Values from VASP.

Calculated values
Total magnetic moment = 0.0001 μB/atom
Space group = No. 11
Formation enthalpy at 0 K = -0.78 kJ per mole of atoms

Geometry as Quantum ESPRESSO input:
```
&SYSTEM
  ibrav = 0, nat = 20, ntyp = 3
/
ATOMIC_SPECIES
Sm 150.36 Sm.upf
Tm 168.93 Tm.upf
In 114.82 In.upf
ATOMIC_POSITIONS crystal
Sm 0.010 0.250 0.309
Sm 0.158 0.250 0.884
Sm 0.251 0.750 0.304
Sm 0.271 0.750 0.714
Sm 0.311 0.750 0.075
Sm 0.386 0.250 0.533
Sm 0.614 0.750 0.467
Sm 0.689 0.250 0.925
Sm 0.729 0.250 0.286
Sm 0.749 0.250 0.696
Sm 0.842 0.750 0.116
Sm 0.990 0.750 0.691
Tm 0.079 0.250 0.096
Tm 0.128 0.750 0.501
Tm 0.428 0.250 0.896
Tm 0.572 0.750 0.104
Tm 0.872 0.250 0.499
Tm 0.921 0.750 0.904
In 0.468 0.250 0.273
In 0.532 0.750 0.727
CELL_PARAMETERS angstrom
12.834 0.000 0.000
0.000 3.512 0.000
-2.606 0.000 14.080
```